A geometry-optimized TlSiI2O structure. Source: Alexandria, functional PBE-GGA.

abc: 6.1451 6.1451 4.0848
angles: 90.00 90.00 90.00
Fractional positions:
Tl 0.0000 0.0000 0.0000
Si 0.5000 0.5000 0.5000
I 0.0000 0.5000 0.0000
I 0.5000 0.0000 0.0000
O 0.0000 0.0000 0.5000

## Properties
Formation energy (no corrections) ... 406 meV/atom
Magnetization ... 0.44 μB per cell
Total DFT energy (no corrections) ... -2.763 eV/atom
Energy above the lowest structure with this stoichiometry ... 0.982 eV/atom
Symmetry ... No. 123
V ... 30.850 Å³/atom